(w)
Compound: Li8CrO6
Source: the Alexandria database
Functional: GGA-PBEsol
Structure: optimized geometry

CIF file:
```
data_Li8CrO6
_cell_length_a 5.472
_cell_length_b 5.472
_cell_length_c 10.690
_cell_angle_alpha 90.00
_cell_angle_beta 90.00
_cell_angle_gamma 120.00
_space_group_name_H-M_alt 'P 1'
_space_group_IT_number 1
loop_
_space_group_symop_operation_xyz
'x,y,z'
loop_
_atom_site_label
_atom_site_type_symbol
_atom_site_fract_x
_atom_site_fract_y
_atom_site_fract_z
Li1 Li 0.000 0.312 0.000
Li2 Li 0.000 0.392 0.639
Li3 Li 0.000 0.608 0.139
Li4 Li 0.000 0.688 0.500
Li5 Li 0.312 0.000 0.000
Li6 Li 0.312 0.312 0.500
Li7 Li 0.333 0.667 0.360
Li8 Li 0.333 0.667 0.860
Li9 Li 0.392 0.000 0.639
Li10 Li 0.392 0.392 0.139
Li11 Li 0.608 0.000 0.139
Li12 Li 0.608 0.608 0.639
Li13 Li 0.667 0.333 0.360
Li14 Li 0.667 0.333 0.860
Li15 Li 0.688 0.000 0.500
Li16 Li 0.688 0.688 0.000
Cr1 Cr 0.000 0.000 0.272
Cr2 Cr 0.000 0.000 0.772
O1 O 0.000 0.000 0.102
O2 O 0.000 0.000 0.602
O3 O 0.000 0.309 0.817
O4 O 0.000 0.691 0.317
O5 O 0.309 0.000 0.817
O6 O 0.309 0.309 0.317
O7 O 0.333 0.667 0.050
O8 O 0.333 0.667 0.550
O9 O 0.667 0.333 0.050
O10 O 0.667 0.333 0.550
O11 O 0.691 0.000 0.317
O12 O 0.691 0.691 0.817
```

(x)
Compound: Li8CrO6
Source: the Alexandria database
Functional: GGA-PBEsol
Structure: optimized geometry

CIF file:
```
data_Li8CrO6
_cell_length_a 5.767
_cell_length_b 5.767
_cell_length_c 5.767
_cell_angle_alpha 54.73
_cell_angle_beta 54.73
_cell_angle_gamma 54.73
_space_group_name_H-M_alt 'P 1'
_space_group_IT_number 1
loop_
_space_group_symop_operation_xyz
'x,y,z'
loop_
_atom_site_label
_atom_site_type_symbol
_atom_site_fract_x
_atom_site_fract_y
_atom_site_fract_z
Li1 Li 0.012 0.737 0.399
Li2 Li 0.160 0.160 0.160
Li3 Li 0.263 0.601 0.988
Li4 Li 0.399 0.012 0.737
Li5 Li 0.601 0.988 0.263
Li6 Li 0.737 0.399 0.012
Li7 Li 0.840 0.840 0.840
Li8 Li 0.988 0.263 0.601
Cr1 Cr 0.500 0.500 0.500
O1 O 0.126 0.413 0.730
O2 O 0.270 0.874 0.587
O3 O 0.413 0.730 0.126
O4 O 0.587 0.270 0.874
O5 O 0.730 0.126 0.413
O6 O 0.874 0.587 0.270
```

Most stable structure: (w)

(w)
Compound: LiCr2O4
Source: the Alexandria database
Functional: GGA-PBEsol
Structure: optimized geometry

CIF file:
```
data_LiCr2O4
_cell_length_a 4.982
_cell_length_b 2.884
_cell_length_c 5.094
_cell_angle_alpha 90.00
_cell_angle_beta 109.86
_cell_angle_gamma 90.00
_space_group_name_H-M_alt 'P 1'
_space_group_IT_number 1
loop_
_space_group_symop_operation_xyz
'x,y,z'
loop_
_atom_site_label
_atom_site_type_symbol
_atom_site_fract_x
_atom_site_fract_y
_atom_site_fract_z
Li1 Li 0.000 0.000 0.000
Cr1 Cr 0.000 0.500 0.500
Cr2 Cr 0.500 0.000 0.500
O1 O 0.233 0.000 0.702
O2 O 0.255 0.500 0.286
O3 O 0.745 0.500 0.714
O4 O 0.767 0.000 0.298
```

(x)
Compound: LiCr2O4
Source: the Alexandria database
Functional: GGA-PBEsol
Structure: optimized geometry

CIF file:
```
data_LiCr2O4
_cell_length_a 5.771
_cell_length_b 5.771
_cell_length_c 5.771
_cell_angle_alpha 60.00
_cell_angle_beta 60.00
_cell_angle_gamma 60.00
_space_group_name_H-M_alt 'P 1'
_space_group_IT_number 1
loop_
_space_group_symop_operation_xyz
'x,y,z'
loop_
_atom_site_label
_atom_site_type_symbol
_atom_site_fract_x
_atom_site_fract_y
_atom_site_fract_z
Li1 Li 0.125 0.125 0.125
Li2 Li 0.875 0.875 0.875
Cr1 Cr 0.000 0.500 0.500
Cr2 Cr 0.500 0.000 0.500
Cr3 Cr 0.500 0.500 0.000
Cr4 Cr 0.500 0.500 0.500
O1 O 0.263 0.263 0.263
O2 O 0.263 0.263 0.712
O3 O 0.263 0.712 0.263
O4 O 0.288 0.737 0.737
O5 O 0.712 0.263 0.263
O6 O 0.737 0.288 0.737
O7 O 0.737 0.737 0.288
O8 O 0.737 0.737 0.737
```

Most stable structure: (x)

(w)
Compound: Li4CrO5
Source: the Alexandria database
Functional: GGA-PBEsol
Structure: optimized geometry

CIF file:
```
data_Li4CrO5
_cell_length_a 5.153
_cell_length_b 5.153
_cell_length_c 7.715
_cell_angle_alpha 96.56
_cell_angle_beta 96.56
_cell_angle_gamma 67.64
_space_group_name_H-M_alt 'P 1'
_space_group_IT_number 1
loop_
_space_group_symop_operation_xyz
'x,y,z'
loop_
_atom_site_label
_atom_site_type_symbol
_atom_site_fract_x
_atom_site_fract_y
_atom_site_fract_z
Li1 Li 0.063 0.722 0.555
Li2 Li 0.137 0.466 0.852
Li3 Li 0.278 0.937 0.945
Li4 Li 0.466 0.137 0.352
Li5 Li 0.534 0.863 0.648
Li6 Li 0.722 0.063 0.055
Li7 Li 0.863 0.534 0.148
Li8 Li 0.937 0.278 0.445
Cr1 Cr 0.330 0.670 0.250
Cr2 Cr 0.670 0.330 0.750
O1 O 0.091 0.732 0.071
O2 O 0.147 0.485 0.341
O3 O 0.268 0.909 0.429
O4 O 0.370 0.630 0.750
O5 O 0.485 0.147 0.841
O6 O 0.515 0.853 0.159
O7 O 0.630 0.370 0.250
O8 O 0.732 0.091 0.571
O9 O 0.853 0.515 0.659
O10 O 0.909 0.268 0.929
```

(x)
Compound: Li4CrO5
Source: the Alexandria database
Functional: GGA-PBEsol
Structure: optimized geometry

CIF file:
```
data_Li4CrO5
_cell_length_a 4.919
_cell_length_b 8.679
_cell_length_c 8.721
_cell_angle_alpha 113.30
_cell_angle_beta 96.58
_cell_angle_gamma 96.36
_space_group_name_H-M_alt 'P 1'
_space_group_IT_number 1
loop_
_space_group_symop_operation_xyz
'x,y,z'
loop_
_atom_site_label
_atom_site_type_symbol
_atom_site_fract_x
_atom_site_fract_y
_atom_site_fract_z
Li1 Li 0.000 0.000 0.000
Li2 Li 0.003 0.396 0.596
Li3 Li 0.021 0.799 0.199
Li4 Li 0.219 0.551 0.937
Li5 Li 0.251 0.952 0.539
Li6 Li 0.254 0.355 0.160
Li7 Li 0.281 0.150 0.354
Li8 Li 0.487 0.896 0.087
Li9 Li 0.500 0.500 0.500
Li10 Li 0.513 0.104 0.913
Li11 Li 0.719 0.850 0.646
Li12 Li 0.746 0.645 0.840
Li13 Li 0.749 0.048 0.461
Li14 Li 0.781 0.449 0.063
Li15 Li 0.979 0.201 0.801
Li16 Li 0.997 0.604 0.404
Cr1 Cr 0.217 0.787 0.752
Cr2 Cr 0.477 0.302 0.738
Cr3 Cr 0.523 0.698 0.262
Cr4 Cr 0.783 0.213 0.248
O1 O 0.084 0.362 0.359
O2 O 0.112 0.971 0.776
O3 O 0.134 0.771 0.943
O4 O 0.169 0.593 0.185
O5 O 0.175 0.183 0.586
O6 O 0.347 0.728 0.561
O7 O 0.370 0.324 0.919
O8 O 0.391 0.896 0.320
O9 O 0.397 0.484 0.715
O10 O 0.430 0.141 0.141
O11 O 0.570 0.859 0.859
O12 O 0.603 0.516 0.285
O13 O 0.609 0.104 0.680
O14 O 0.630 0.676 0.081
O15 O 0.653 0.272 0.439
O16 O 0.825 0.817 0.414
O17 O 0.831 0.407 0.815
O18 O 0.866 0.229 0.057
O19 O 0.888 0.029 0.224
O20 O 0.916 0.638 0.641
```

Most stable structure: (w)

(w)
Compound: Li4CrO4
Source: the Alexandria database
Functional: GGA-PBEsol
Structure: optimized geometry

CIF file:
```
data_Li4CrO4
_cell_length_a 5.091
_cell_length_b 5.122
_cell_length_c 7.613
_cell_angle_alpha 70.79
_cell_angle_beta 82.97
_cell_angle_gamma 67.97
_space_group_name_H-M_alt 'P 1'
_space_group_IT_number 1
loop_
_space_group_symop_operation_xyz
'x,y,z'
loop_
_atom_site_label
_atom_site_type_symbol
_atom_site_fract_x
_atom_site_fract_y
_atom_site_fract_z
Li1 Li 0.218 0.107 0.208
Li2 Li 0.239 0.989 0.564
Li3 Li 0.249 0.577 0.415
Li4 Li 0.257 0.742 0.995
Li5 Li 0.743 0.258 0.005
Li6 Li 0.751 0.423 0.585
Li7 Li 0.761 0.011 0.436
Li8 Li 0.782 0.893 0.792
Cr1 Cr 0.221 0.338 0.774
Cr2 Cr 0.779 0.662 0.226
O1 O 0.005 0.123 0.805
O2 O 0.024 0.691 0.625
O3 O 0.339 0.343 0.978
O4 O 0.487 0.199 0.616
O5 O 0.513 0.801 0.384
O6 O 0.661 0.657 0.022
O7 O 0.976 0.309 0.375
O8 O 0.995 0.877 0.195
```

(x)
Compound: Li4CrO4
Source: the Alexandria database
Functional: GGA-PBEsol
Structure: optimized geometry

CIF file:
```
data_Li4CrO4
_cell_length_a 5.343
_cell_length_b 5.343
_cell_length_c 6.043
_cell_angle_alpha 90.00
_cell_angle_beta 90.00
_cell_angle_gamma 86.13
_space_group_name_H-M_alt 'P 1'
_space_group_IT_number 1
loop_
_space_group_symop_operation_xyz
'x,y,z'
loop_
_atom_site_label
_atom_site_type_symbol
_atom_site_fract_x
_atom_site_fract_y
_atom_site_fract_z
Li1 Li 0.076 0.627 0.750
Li2 Li 0.340 0.340 0.000
Li3 Li 0.340 0.340 0.500
Li4 Li 0.373 0.924 0.750
Li5 Li 0.627 0.076 0.250
Li6 Li 0.660 0.660 0.000
Li7 Li 0.660 0.660 0.500
Li8 Li 0.924 0.373 0.250
Cr1 Cr 0.161 0.839 0.250
Cr2 Cr 0.839 0.161 0.750
O1 O 0.158 0.237 0.750
O2 O 0.237 0.158 0.250
O3 O 0.296 0.704 0.005
O4 O 0.296 0.704 0.495
O5 O 0.704 0.296 0.505
O6 O 0.704 0.296 0.995
O7 O 0.763 0.842 0.750
O8 O 0.842 0.763 0.250
```

Most stable structure: (w)

(w)
Compound: Li2Cr3SbO8
Source: the Alexandria database
Functional: GGA-PBEsol
Structure: optimized geometry

CIF file:
```
data_Li2Cr3SbO8
_cell_length_a 5.977
_cell_length_b 5.977
_cell_length_c 5.977
_cell_angle_alpha 59.02
_cell_angle_beta 59.02
_cell_angle_gamma 59.02
_space_group_name_H-M_alt 'P 1'
_space_group_IT_number 1
loop_
_space_group_symop_operation_xyz
'x,y,z'
loop_
_atom_site_label
_atom_site_type_symbol
_atom_site_fract_x
_atom_site_fract_y
_atom_site_fract_z
Li1 Li 0.130 0.130 0.130
Li2 Li 0.870 0.870 0.870
Cr1 Cr 0.000 0.500 0.500
Cr2 Cr 0.500 0.000 0.500
Cr3 Cr 0.500 0.500 0.000
Sb1 Sb 0.500 0.500 0.500
O1 O 0.261 0.261 0.716
O2 O 0.261 0.716 0.261
O3 O 0.266 0.266 0.266
O4 O 0.284 0.739 0.739
O5 O 0.716 0.261 0.261
O6 O 0.734 0.734 0.734
O7 O 0.739 0.284 0.739
O8 O 0.739 0.739 0.284
```

(x)
Compound: Li2Cr3SbO8
Source: the Alexandria database
Functional: GGA-PBEsol
Structure: optimized geometry

CIF file:
```
data_Li2Cr3SbO8
_cell_length_a 5.857
_cell_length_b 5.857
_cell_length_c 9.482
_cell_angle_alpha 90.00
_cell_angle_beta 90.00
_cell_angle_gamma 120.00
_space_group_name_H-M_alt 'P 1'
_space_group_IT_number 1
loop_
_space_group_symop_operation_xyz
'x,y,z'
loop_
_atom_site_label
_atom_site_type_symbol
_atom_site_fract_x
_atom_site_fract_y
_atom_site_fract_z
Li1 Li 0.000 0.000 0.000
Li2 Li 0.000 0.000 0.500
Li3 Li 0.333 0.667 0.410
Li4 Li 0.667 0.333 0.910
Cr1 Cr 0.170 0.339 0.722
Cr2 Cr 0.170 0.830 0.722
Cr3 Cr 0.339 0.170 0.222
Cr4 Cr 0.661 0.830 0.722
Cr5 Cr 0.830 0.170 0.222
Cr6 Cr 0.830 0.661 0.222
Sb1 Sb 0.333 0.667 0.996
Sb2 Sb 0.667 0.333 0.496
O1 O 0.000 0.000 0.314
O2 O 0.000 0.000 0.814
O3 O 0.036 0.518 0.847
O4 O 0.163 0.327 0.104
O5 O 0.163 0.837 0.104
O6 O 0.327 0.163 0.604
O7 O 0.333 0.667 0.616
O8 O 0.482 0.518 0.847
O9 O 0.482 0.964 0.847
O10 O 0.518 0.036 0.347
O11 O 0.518 0.482 0.347
O12 O 0.667 0.333 0.116
O13 O 0.673 0.837 0.104
O14 O 0.837 0.163 0.604
O15 O 0.837 0.673 0.604
O16 O 0.964 0.482 0.347
```

Most stable structure: (x)

(w)
Compound: LiCrSnO4
Source: the Alexandria database
Functional: GGA-PBEsol
Structure: optimized geometry

CIF file:
```
data_LiCrSnO4
_cell_length_a 6.051
_cell_length_b 6.051
_cell_length_c 6.051
_cell_angle_alpha 121.45
_cell_angle_beta 118.06
_cell_angle_gamma 90.45
_space_group_name_H-M_alt 'P 1'
_space_group_IT_number 1
loop_
_space_group_symop_operation_xyz
'x,y,z'
loop_
_atom_site_label
_atom_site_type_symbol
_atom_site_fract_x
_atom_site_fract_y
_atom_site_fract_z
Li1 Li 0.376 0.126 0.250
Li2 Li 0.624 0.874 0.750
Cr1 Cr 0.000 0.000 0.500
Cr2 Cr 0.000 0.500 0.000
Sn1 Sn 0.000 0.500 0.500
Sn2 Sn 0.500 0.500 0.000
O1 O 0.207 0.742 0.466
O2 O 0.224 0.258 0.966
O3 O 0.236 0.250 0.514
O4 O 0.236 0.722 0.986
O5 O 0.764 0.278 0.014
O6 O 0.764 0.750 0.486
O7 O 0.776 0.742 0.034
O8 O 0.793 0.258 0.534
```

(x)
Compound: LiCrSnO4
Source: the Alexandria database
Functional: GGA-PBEsol
Structure: optimized geometry

CIF file:
```
data_LiCrSnO4
_cell_length_a 6.009
_cell_length_b 6.009
_cell_length_c 8.354
_cell_angle_alpha 90.00
_cell_angle_beta 90.00
_cell_angle_gamma 90.00
_space_group_name_H-M_alt 'P 1'
_space_group_IT_number 1
loop_
_space_group_symop_operation_xyz
'x,y,z'
loop_
_atom_site_label
_atom_site_type_symbol
_atom_site_fract_x
_atom_site_fract_y
_atom_site_fract_z
Li1 Li 0.000 0.237 0.000
Li2 Li 0.000 0.763 0.500
Li3 Li 0.237 0.000 0.250
Li4 Li 0.763 0.000 0.750
Cr1 Cr 0.244 0.500 0.250
Cr2 Cr 0.500 0.244 0.000
Cr3 Cr 0.500 0.756 0.500
Cr4 Cr 0.756 0.500 0.750
Sn1 Sn 0.251 0.251 0.625
Sn2 Sn 0.251 0.749 0.875
Sn3 Sn 0.749 0.251 0.375
Sn4 Sn 0.749 0.749 0.125
O1 O 0.027 0.264 0.253
O2 O 0.027 0.736 0.247
O3 O 0.264 0.027 0.997
O4 O 0.264 0.478 0.015
O5 O 0.264 0.522 0.485
O6 O 0.264 0.973 0.503
O7 O 0.478 0.264 0.235
O8 O 0.478 0.736 0.265
O9 O 0.522 0.264 0.765
O10 O 0.522 0.736 0.735
O11 O 0.736 0.027 0.003
O12 O 0.736 0.478 0.985
O13 O 0.736 0.522 0.515
O14 O 0.736 0.973 0.497
O15 O 0.973 0.264 0.747
O16 O 0.973 0.736 0.753
```

Most stable structure: (w)

(w)
Compound: Li2TiCrO4
Source: the Alexandria database
Functional: GGA-PBEsol
Structure: optimized geometry

CIF file:
```
data_Li2TiCrO4
_cell_length_a 5.786
_cell_length_b 5.786
_cell_length_c 5.786
_cell_angle_alpha 119.88
_cell_angle_beta 119.23
_cell_angle_gamma 90.78
_space_group_name_H-M_alt 'P 1'
_space_group_IT_number 1
loop_
_space_group_symop_operation_xyz
'x,y,z'
loop_
_atom_site_label
_atom_site_type_symbol
_atom_site_fract_x
_atom_site_fract_y
_atom_site_fract_z
Li1 Li 0.000 0.000 0.000
Li2 Li 0.500 0.000 0.000
Li3 Li 0.500 0.000 0.500
Li4 Li 0.500 0.500 0.500
Ti1 Ti 0.000 0.000 0.500
Ti2 Ti 0.000 0.500 0.000
Cr1 Cr 0.000 0.500 0.500
Cr2 Cr 0.500 0.500 0.000
O1 O 0.238 0.747 0.491
O2 O 0.244 0.253 0.991
O3 O 0.248 0.263 0.515
O4 O 0.248 0.733 0.985
O5 O 0.752 0.267 0.015
O6 O 0.752 0.737 0.485
O7 O 0.756 0.747 0.009
O8 O 0.762 0.253 0.509
```

(x)
Compound: Li2TiCrO4
Source: the Alexandria database
Functional: GGA-PBEsol
Structure: optimized geometry

CIF file:
```
data_Li2TiCrO4
_cell_length_a 5.015
_cell_length_b 5.015
_cell_length_c 5.015
_cell_angle_alpha 132.62
_cell_angle_beta 132.62
_cell_angle_gamma 69.25
_space_group_name_H-M_alt 'P 1'
_space_group_IT_number 1
loop_
_space_group_symop_operation_xyz
'x,y,z'
loop_
_atom_site_label
_atom_site_type_symbol
_atom_site_fract_x
_atom_site_fract_y
_atom_site_fract_z
Li1 Li 0.000 0.000 0.000
Li2 Li 0.750 0.250 0.500
Ti1 Ti 0.250 0.750 0.500
Cr1 Cr 0.500 0.500 0.000
O1 O 0.006 0.506 0.500
O2 O 0.255 0.255 0.000
O3 O 0.494 0.994 0.500
O4 O 0.745 0.745 0.000
```

Most stable structure: (w)